1.
Entry from Alexandria via LeMat-Bulk: a relaxed structure of Ho2Hf2S7 (PBE).

Results
uncorrected formation energy = -1.647 eV/atom
symmetry = Imm2, No. 44

Cell and atoms, written as POSCAR:
```
Ho2Hf2S7
1.0
-1.867 6.971 4.109
1.867 -6.971 4.109
1.867 6.971 -4.109
Ho Hf S
2 2 7
Direct
0.000 0.000 0.000
0.533 0.033 0.500
0.055 0.800 0.255
0.545 0.800 0.745
0.224 0.724 0.500
0.295 0.108 0.187
0.343 0.492 0.851
0.641 0.492 0.149
0.701 0.315 0.385
0.921 0.108 0.813
0.930 0.315 0.615
```

2.
Entry from Alexandria via LeMat-Bulk: a relaxed structure of LiPmPtPb (PBE).

Results
DFT total energy = -4.825 eV/atom
symmetry = F-43m, No. 216

Cell and atoms, written as POSCAR:
```
LiPmPtPb
1.0
0.000 3.465 3.465
3.465 0.000 3.465
3.465 3.465 0.000
Li Pm Pt Pb
1 1 1 1
Direct
0.000 0.000 0.000
0.750 0.750 0.750
0.500 0.500 0.500
0.250 0.250 0.250
```

3.
Entry from Alexandria via LeMat-Bulk: a relaxed structure of LiNdThAl (PBE).

Results
DFT total energy = -4.562 eV/atom
symmetry = F-43m, No. 216

Cell and atoms, written as POSCAR:
```
LiNdThAl
1.0
0.000 3.722 3.722
3.722 0.000 3.722
3.722 3.722 0.000
Li Nd Th Al
1 1 1 1
Direct
0.000 0.000 0.000
0.250 0.250 0.250
0.750 0.750 0.750
0.500 0.500 0.500
```

> Number 2 is which compound?

LiPmPtPb